Compound: ScGa4CuNi2
Source: the Alexandria database
Functional: PBE
Structure: optimized geometry

The space group is R-3m (No. 166, hexagonal axes) and the conventional cell measures 4.0886, 4.0886 and 24.5144 Å, with angles of 90.00, 90.00 and 120.00 degrees. The distinct sites, in fractional coordinates, are Sc at (0.0000, 0.0000, 0.0000), Ga at (0.0000, 0.0000, 0.1273), Ga at (0.0000, 0.0000, 0.3951), Cu at (0.0000, 0.0000, 0.5000) and Ni at (0.0000, 0.0000, 0.2401).

The energy of formation comes out at -0.353 eV per atom.

Compound: SiTcOs2
Source: the Alexandria database
Functional: PBE
Structure: optimized geometry

The space group is C2/m (No. 12) and the conventional cell measures 8.904, 2.771 and 4.596 Å, with angles of 90.00, 97.26 and 90.00 degrees. The distinct sites, in fractional coordinates, are Si at (0.000, 0.000, 0.000), Tc at (0.000, 0.500, 0.500) and Os at (0.243, 0.000, 0.751).

As for the energy relative to the elements, uncorrected: 0.049 eV per atom.

Compound: CePm8Pb6
Source: the Alexandria database
Functional: PBE
Structure: optimized geometry

The space group is R-3 (No. 148, hexagonal axes) and the conventional cell measures 9.4377, 9.4377 and 19.9871 Å, with angles of 90.00, 90.00 and 120.00 degrees. The distinct sites, in fractional coordinates, are Ce at (0.0000, 0.0000, 0.0000), Pm at (0.0000, 0.0000, 0.3330), Pm at (0.0013, 0.6715, 0.1027) and Pb at (0.0008, 0.6630, 0.9309).

The energy of formation comes out at -0.374 eV per atom.

Compound: CaAg2C2O6
Source: the Alexandria database
Functional: PBE
Structure: optimized geometry

The space group is P-3 (No. 147) and the conventional cell measures 5.3706, 5.3706 and 6.4698 Å, with angles of 90.00, 90.00 and 120.00 degrees. The distinct sites, in fractional coordinates, are Ca at (0.0000, 0.0000, 0.0000), Ag at (0.3333, 0.6667, 0.2777), C at (0.3333, 0.6667, 0.7850) and O at (0.1224, 0.7202, 0.7844).

As for the energy relative to the elements, uncorrected: -1.389 eV per atom.

Compound: Al2CdIr
Source: the Alexandria database
Functional: PBE
Structure: optimized geometry

The space group is I-4m2 (No. 119) and the conventional cell measures 3.950, 3.950 and 8.170 Å, with angles of 90.00, 90.00 and 90.00 degrees. The distinct sites, in fractional coordinates, are Al at (0.000, 0.000, 0.000), Al at (0.000, 0.500, 0.250), Cd at (0.000, 0.500, 0.750) and Ir at (0.000, 0.000, 0.500).

The energy of formation comes out at -0.239 eV per atom.

Compound: Sn4Se5Cl
Source: the Alexandria database
Functional: PBE
Structure: optimized geometry

The space group is Pmmn (No. 59, origin choice 2) and the conventional cell measures 8.000, 10.300 and 6.932 Å, with angles of 90.00, 90.00 and 90.00 degrees. The distinct sites, in fractional coordinates, are Sn at (0.044, 0.250, 0.013), Sn at (0.250, 0.511, 0.560), Se at (0.040, 0.542, 0.234), Se at (0.250, 0.750, 0.766) and Cl at (0.250, 0.250, 0.457).

As for the energy relative to the elements, uncorrected: -0.364 eV per atom.

Compound: CaTa2Tl
Source: the Alexandria database
Functional: PBE
Structure: optimized geometry

The space group is P4mm (No. 99) and the conventional cell measures 3.015, 3.015 and 9.750 Å, with angles of 90.00, 90.00 and 90.00 degrees. The distinct sites, in fractional coordinates, are Ca at (0.000, 0.000, 0.000), Ta at (0.000, 0.000, 0.497), Ta at (0.500, 0.500, 0.279) and Tl at (0.500, 0.500, 0.737).

The energy of formation comes out at 0.397 eV per atom. The calculation puts the excess energy over the best structure of this formula in the dataset at 0.51 eV/f.u.

Compound: TlBiAsBr2
Source: the Alexandria database
Functional: PBE
Structure: optimized geometry

The space group is P4/mmm (No. 123) and the conventional cell measures 5.886, 5.886 and 5.545 Å, with angles of 90.00, 90.00 and 90.00 degrees. The distinct sites, in fractional coordinates, are Tl at (0.000, 0.000, 0.000), Bi at (0.500, 0.500, 0.500), As at (0.500, 0.500, 0.000) and Br at (0.000, 0.500, 0.500).

The calculation puts the excess energy over the best structure of this formula in the dataset at 0.00 eV/f.u. As for the energy relative to the elements, uncorrected: -0.106 eV per atom.

Compound: CdGeBr2
Source: the Alexandria database
Functional: PBE
Structure: optimized geometry

The space group is I-42d (No. 122) and the conventional cell measures 8.267, 8.267 and 11.496 Å, with angles of 90.00, 90.00 and 90.00 degrees. The distinct sites, in fractional coordinates, are Cd at (0.000, 0.000, 0.000), Ge at (0.000, 0.000, 0.500) and Br at (0.109, 0.250, 0.625).

The calculation puts the excess energy over the best structure of this formula in the dataset at 0.48 eV/f.u. As for the energy relative to the elements, uncorrected: -0.151 eV per atom.

Compound: Ac6Rh2SI2
Source: the Alexandria database
Functional: PBE
Structure: optimized geometry

The space group is C2/m (No. 12) and the conventional cell measures 7.840, 13.096 and 8.552 Å, with angles of 90.00, 106.32 and 90.00 degrees. The distinct sites, in fractional coordinates, are Ac at (0.201, 0.000, 0.198), Ac at (0.236, 0.331, 0.194), Rh at (0.000, 0.171, 0.000), S at (0.000, 0.500, 0.000) and I at (0.000, 0.336, 0.500).

As for the energy relative to the elements, uncorrected: -0.994 eV per atom.

Compound: Sm2Y2HoTm
Source: the Alexandria database
Functional: PBE
Structure: optimized geometry

The space group is Pnnm (No. 58) and the conventional cell measures 6.959, 16.307 and 3.482 Å, with angles of 90.00, 90.00 and 90.00 degrees. The distinct sites, in fractional coordinates, are Sm at (0.249, 0.151, 0.000), Y at (0.249, 0.339, 0.500), Ho at (0.000, 0.500, 0.000) and Tm at (0.000, 0.000, 0.500).

The energy of formation comes out at 0.149 eV per atom.

Compound: Li2NpIn9
Source: the Alexandria database
Functional: PBE
Structure: optimized geometry

The space group is P4/mmm (No. 123) and the conventional cell measures 4.561, 4.561 and 13.897 Å, with angles of 90.00, 90.00 and 90.00 degrees. The distinct sites, in fractional coordinates, are Li at (0.000, 0.000, 0.173), Np at (0.000, 0.000, 0.500), In at (0.000, 0.500, 0.000), In at (0.000, 0.500, 0.327), In at (0.500, 0.500, 0.167) and In at (0.500, 0.500, 0.500).

The energy of formation comes out at -0.071 eV per atom.

Compound: GeWCl2
Source: the Alexandria database
Functional: PBE
Structure: optimized geometry

The space group is R-3m (No. 166, hexagonal axes) and the conventional cell measures 3.0371, 3.0371 and 35.2649 Å, with angles of 90.00, 90.00 and 120.00 degrees. The distinct sites, in fractional coordinates, are Ge at (0.0000, 0.0000, 0.0000), W at (0.0000, 0.0000, 0.5000) and Cl at (0.0000, 0.0000, 0.1162).

The calculation puts the excess energy over the best structure of this formula in the dataset at 0.00 eV/f.u. As for the energy relative to the elements, uncorrected: 0.127 eV per atom.

Spin magnetization / μB per cell: 0.00 0.00 5.54 0.00 0.00 0.00 0.00 0.72 0.00 0.00 0.00 4.03 0.00